No. 1
First-principles (PBEsol) data for crystalline K6Ta11O30 at its relaxed geometry, as listed in Alexandria via LeMat-Bulk.

Results
formation energy without anion corrections = -2.680 eV per atom
DOS(E_F) = 0.060 states/eV/atom

Lattice parameters (Å, degrees): 3.9270 17.9242 18.1200 90.00 90.00 90.00
Space group Amm2 (No. 38)
Inequivalent atoms, fractional coordinates:
K: 0.0000 0.0000 0.0000 x2
K: 0.0000 0.0000 0.3266 x2
K: 0.0000 0.1807 0.6354 x4
K: 0.0000 0.2448 0.4123 x4
Ta: 0.0000 0.0000 0.7732 x2
Ta: 0.5000 0.0000 0.1564 x2
Ta: 0.5000 0.0000 0.6446 x2
Ta: 0.5000 0.1081 0.4710 x4
Ta: 0.5000 0.1153 0.8481 x4
Ta: 0.5000 0.1784 0.2639 x4
Ta: 0.5000 0.1840 0.0568 x4
O: 0.0000 0.0000 0.1602 x2
O: 0.0000 0.0000 0.6623 x2
O: 0.0000 0.0939 0.8333 x4
O: 0.0000 0.1088 0.4765 x4
O: 0.0000 0.1852 0.0483 x4
O: 0.0000 0.1904 0.2689 x4
O: 0.5000 0.0000 0.4484 x2
O: 0.5000 0.0000 0.8697 x2
O: 0.5000 0.0671 0.7425 x4
O: 0.5000 0.0774 0.2374 x4
O: 0.5000 0.0777 0.0810 x4
O: 0.5000 0.0814 0.5835 x4
O: 0.5000 0.1436 0.9460 x4
O: 0.5000 0.1453 0.3717 x4
O: 0.5000 0.2099 0.8068 x4
O: 0.5000 0.2131 0.5147 x4
O: 0.5000 0.2141 0.1596 x4

***

No. 2
First-principles (PBEsol) data for crystalline K9Ta10O30 at its relaxed geometry, as listed in Alexandria via LeMat-Bulk.

Results
formation energy without anion corrections = -2.663 eV per atom
DOS(E_F) = 0.387 states/eV/atom

Lattice parameters (Å, degrees): 8.9086 8.9088 8.9089 113.58 101.54 90.00
Space group P-1 (No. 2)
Inequivalent atoms, fractional coordinates:
K: 0.0000 0.0000 0.0000 x1
K: 0.1011 0.2001 0.5001 x2
K: 0.1993 0.3995 0.0001 x2
K: 0.3000 0.6011 0.5002 x2
K: 0.4001 0.7997 0.0008 x2
Ta: 0.0501 0.6004 0.7510 x2
Ta: 0.1529 0.8028 0.2532 x2
Ta: 0.2518 0.0012 0.7493 x2
Ta: 0.3520 0.1987 0.2521 x2
Ta: 0.4511 0.3973 0.7485 x2
O: 0.0000 0.5000 0.5000 x1
O: 0.0499 0.1000 0.7502 x2
O: 0.0498 0.6003 0.2500 x2
O: 0.0999 0.7001 0.0004 x2
O: 0.1503 0.3002 0.2500 x2
O: 0.1499 0.8003 0.7503 x2
O: 0.1969 0.8992 0.5003 x2
O: 0.2476 0.0002 0.2476 x2
O: 0.2503 0.5003 0.7502 x2
O: 0.2997 0.1001 0.0001 x2
O: 0.3483 0.6970 0.2476 x2
O: 0.3486 0.2022 0.7525 x2
O: 0.3991 0.3032 0.5001 x2
O: 0.4493 0.8991 0.7527 x2
O: 0.4500 0.3998 0.2496 x2
O: 0.5000 0.5000 0.0000 x1

***

No. 3
First-principles (PBEsol) data for crystalline KTaWO6 at its relaxed geometry, as listed in Alexandria via LeMat-Bulk.

Results
formation energy without anion corrections = -2.478 eV per atom
DOS(E_F) = 0.000 states/eV/atom

Lattice parameters (Å, degrees): 7.3545 10.2557 7.4833 90.00 90.00 90.00
Space group Ima2 (No. 46)
Inequivalent atoms, fractional coordinates:
K: 0.2500 0.1749 0.0000 x4
Ta: 0.0000 0.0000 0.6322 x4
W: 0.2500 0.7433 0.8576 x4
O: 0.0681 0.6284 0.3218 x8
O: 0.0682 0.6284 0.9505 x8
O: 0.2500 0.0682 0.6435 x4
O: 0.2500 0.6865 0.6307 x4

***

No. 4
First-principles (PBEsol) data for crystalline KYTa2O7 at its relaxed geometry, as listed in Alexandria via LeMat-Bulk.

Results
formation energy without anion corrections = -2.928 eV per atom
DOS(E_F) = 0.000 states/eV/atom

Lattice parameters (Å, degrees): 7.3411 7.4666 10.6216 90.00 90.00 90.00
Space group Imma (No. 74)
Inequivalent atoms, fractional coordinates:
K: 0.2500 0.2500 0.2500 x4
Y: 0.0000 0.0000 0.0000 x4
Ta: 0.0000 0.0000 0.5000 x4
Ta: 0.2500 0.2500 0.7500 x4
O: 0.0000 0.2500 0.0900 x4
O: 0.0000 0.2500 0.4419 x4
O: 0.0000 0.2500 0.8162 x4
O: 0.1978 0.0637 0.6213 x16

***

No. 5
First-principles (PBEsol) data for crystalline KTbW2O8 at its relaxed geometry, as listed in Alexandria via LeMat-Bulk.

Results
formation energy without anion corrections = -2.558 eV per atom
DOS(E_F) = 0.000 states/eV/atom

Lattice parameters (Å, degrees): 10.6469 10.4260 7.4724 90.00 130.67 90.00
Space group C2/c (No. 15)
Inequivalent atoms, fractional coordinates:
K: 0.0000 0.2043 0.2500 x4
Tb: 0.0000 0.2284 0.7500 x4
W: 0.1971 0.4984 0.7334 x8
O: 0.0225 0.3911 0.9724 x8
O: 0.1252 0.0833 0.6851 x8
O: 0.1918 0.4285 0.4484 x8
O: 0.2245 0.1591 0.1252 x8

***

No. 6
First-principles (PBEsol) data for crystalline KTcO4 at its relaxed geometry, as listed in Alexandria via LeMat-Bulk.

Results
formation energy without anion corrections = -1.734 eV per atom
DOS(E_F) = 0.000 states/eV/atom

Lattice parameters (Å, degrees): 5.6389 5.6389 12.5891 90.00 90.00 90.00
Space group I4_1/a (No. 88, origin choice 2)
Inequivalent atoms, fractional coordinates:
K: 0.0000 0.2500 0.1250 x4
Tc: 0.0000 0.2500 0.6250 x4
O: 0.1191 0.4692 0.7026 x16